Na2HoBiO4: relaxed, GGA-PBE.

Unit cell a=5.9879 b=3.4648 c=6.0433 alpha=90.00 beta=109.51 gamma=90.00
Closest atoms and distances in Å follow each position.
Space group P2/m (No. 10)
Unique sites:
Na: 0.0000 0.0000 0.0000 (multiplicity 1)  6 O 2.61-2.62
Na: 0.0000 0.5000 0.5000 (multiplicity 1)  6 O 2.50-2.52
Ho: 0.5000 0.0000 0.5000 (multiplicity 1)  6 O 2.30-2.31
Bi: 0.5000 0.5000 0.0000 (multiplicity 1)  6 O 2.41
O: 0.2757 0.0000 0.7433 (multiplicity 2)  1 Ho 2.30, 2 Bi 2.41, 2 Na 2.50
O: 0.2863 0.5000 0.2743 (multiplicity 2)  2 Ho 2.31, 1 Bi 2.41, 1 Na 2.52

Output
**Magnetization**: 0.00 μB per formula unit
**Formation energy without anion corrections**: -2074 meV per atom


Na2Ho2BiO6: relaxed, GGA-PBE.

Unit cell a=5.9375 b=10.3296 c=5.9695 alpha=90.00 beta=108.12 gamma=90.00
Closest atoms and distances in Å follow each position.
Space group C2/m (No. 12)
Unique sites:
Na: 0.0000 0.1661 0.0000 (multiplicity 4)  6 O 2.54-2.60
Ho: 0.0000 0.3350 0.5000 (multiplicity 4)  6 O 2.25-2.32
Bi: 0.0000 0.0000 0.5000 (multiplicity 2)  6 O 2.25-2.33
O: 0.2257 0.1730 0.7023 (multiplicity 8)  2 Ho 2.25-2.31, 1 Bi 2.33
O: 0.2409 0.5000 0.7052 (multiplicity 4)  1 Bi 2.25, 2 Ho 2.32

Output
**Magnetization**: 0.85 μB per formula unit
**Formation energy without anion corrections**: -2274 meV per atom


Na3Ho2BiO6: relaxed, GGA-PBE.

Unit cell a=5.9797 b=10.3564 c=5.9659 alpha=90.00 beta=109.58 gamma=90.00
Closest atoms and distances in Å follow each position.
Space group C2/m (No. 12)
Unique sites:
Na: 0.0000 0.0000 0.0000 (multiplicity 2)  6 O 2.48-2.59
Na: 0.0000 0.3331 0.0000 (multiplicity 4)  6 O 2.48-2.60
Ho: 0.0000 0.1668 0.5000 (multiplicity 4)  6 O 2.29-2.30
Bi: 0.0000 0.5000 0.5000 (multiplicity 2)  6 O 2.41-2.42
O: 0.2233 0.0000 0.7172 (multiplicity 4)  2 Ho 2.30, 1 Bi 2.42, 1 Na 2.48
O: 0.2464 0.3255 0.7152 (multiplicity 8)  2 Ho 2.29, 1 Bi 2.41, 1 Na 2.48

Output
**Magnetization**: 0.00 μB per formula unit
**Formation energy without anion corrections**: -2332 meV per atom


Na4Ho3BiO8: relaxed, GGA-PBE.

Unit cell a=6.8856 b=6.8856 c=16.8285 alpha=90.00 beta=90.00 gamma=120.00
Closest atoms and distances in Å follow each position.
Space group R-3m (No. 166, hexagonal axes)
Unique sites:
Na: 0.0000 0.0000 0.0000 (multiplicity 3)  6 O 2.49
Na: 0.0000 0.5000 0.0000 (multiplicity 9)  6 O 2.58
Ho: 0.0000 0.5000 0.5000 (multiplicity 9)  6 O 2.30-2.31
Bi: 0.0000 0.0000 0.5000 (multiplicity 3)  6 O 2.40
O: 0.0000 0.0000 0.2360 (multiplicity 6)  3 Ho 2.31, 3 Na 2.58
O: 0.0131 0.5066 0.7612 (multiplicity 18)  2 Ho 2.30, 1 Bi 2.40, 1 Na 2.49

Output
**Magnetization**: 0.00 μB per formula unit
**Formation energy without anion corrections**: -2449 meV per atom


NaHo2PaBi4: relaxed, GGA-PBE.

Unit cell a=7.6979 b=4.4956 c=7.8049 alpha=90.00 beta=108.52 gamma=90.00
Closest atoms and distances in Å follow each position.
Space group P2/m (No. 10)
Unique sites:
Na: 0.0000 0.0000 0.0000 (multiplicity 1)  6 Bi 3.15-3.23
Ho: 0.0000 0.5000 0.5000 (multiplicity 1)  6 Bi 3.19-3.20
Ho: 0.5000 0.0000 0.5000 (multiplicity 1)  6 Bi 3.14-3.15
Pa: 0.5000 0.5000 0.0000 (multiplicity 1)  6 Bi 3.10-3.18
Bi: 0.2519 0.0000 0.7516 (multiplicity 2)  3 Ho 3.14-3.20, 1 Na 3.15, 2 Pa 3.18
Bi: 0.2601 0.5000 0.2524 (multiplicity 2)  1 Pa 3.10, 3 Ho 3.15-3.19, 2 Na 3.23

Output
**E_form**: -0.47 eV per atom
**Magnetization**: 0.15 μB per formula unit


NaHoBiPb: relaxed, GGA-PBE.

Unit cell a=7.7414 b=7.7414 c=7.7414 alpha=90.00 beta=90.00 gamma=90.00
Closest atoms and distances in Å follow each position.
Space group F-43m (No. 216)
Unique sites:
Na: 0.0000 0.0000 0.0000 (multiplicity 4)  4 Bi 3.35, 4 Pb 3.35
Ho: 0.0000 0.0000 0.5000 (multiplicity 4)  4 Pb 3.35, 4 Bi 3.35
Bi: 0.2500 0.2500 0.2500 (multiplicity 4)  4 Ho 3.35, 4 Na 3.35
Pb: 0.2500 0.2500 0.7500 (multiplicity 4)  4 Na 3.35, 4 Ho 3.35

Output
**E_form**: -0.29 eV per atom
**Magnetization**: 0.00 μB per formula unit


Na3HoBi2S6: relaxed, GGA-PBE.

Unit cell a=7.0047 b=12.1388 c=7.1357 alpha=90.00 beta=109.14 gamma=90.00
Closest atoms and distances in Å follow each position.
Space group C2/m (No. 12)
Unique sites:
Na: 0.0000 0.0000 0.0000 (multiplicity 2)  6 S 2.93-3.00
Na: 0.0000 0.3285 0.0000 (multiplicity 4)  6 S 2.93-2.97
Ho: 0.0000 0.5000 0.5000 (multiplicity 2)  6 S 2.76
Bi: 0.0000 0.1660 0.5000 (multiplicity 4)  6 S 2.83-2.85
S: 0.2396 0.3379 0.7324 (multiplicity 8)  1 Ho 2.76, 2 Bi 2.84-2.85, 3 Na 2.93-2.96
S: 0.2467 0.5000 0.2674 (multiplicity 4)  1 Ho 2.76, 2 Bi 2.83, 3 Na 2.97-3.00

Output
**Magnetization**: 0.00 μB per formula unit
**Formation energy without anion corrections**: -1117 meV per atom


NaHo4BiS8: relaxed, GGA-PBE.

Unit cell a=8.0798 b=8.0798 c=20.0960 alpha=90.00 beta=90.00 gamma=120.00
Closest atoms and distances in Å follow each position.
Space group R3m (No. 160, hexagonal axes)
Unique sites:
Na: 0.0000 0.0000 0.0000 (multiplicity 3)  4 S 2.68-2.72
Ho: 0.0000 0.0000 0.2552 (multiplicity 3)  4 S 2.61-2.66
Ho: 0.1710 0.3419 0.4627 (multiplicity 9)  6 S 2.68-2.83
Bi: 0.0000 0.0000 0.6392 (multiplicity 3)  6 S 2.69-3.00
S: 0.0000 0.0000 0.3877 (multiplicity 3)  4 Ho 2.66-2.83
S: 0.0000 0.0000 0.8664 (multiplicity 3)  3 Ho 2.68, 1 Na 2.68
S: 0.0246 0.5123 0.3859 (multiplicity 9)  1 Bi 2.69, 2 Ho 2.70, 1 Na 2.72
S: 0.1732 0.3463 0.2067 (multiplicity 9)  3 Ho 2.61-2.79

Output
**Magnetization**: 0.00 μB per formula unit
**Formation energy without anion corrections**: -1660 meV per atom


NaHoBi2S4: relaxed, GGA-PBE.

Unit cell a=7.2989 b=3.9294 c=7.7351 alpha=90.00 beta=109.16 gamma=90.00
Closest atoms and distances in Å follow each position.
Space group P2/m (No. 10)
Unique sites:
Na: 0.0000 0.0000 0.0000 (multiplicity 1)  4 S 2.92
Ho: 0.5000 0.5000 0.5000 (multiplicity 1)  6 S 2.72-2.79
Bi: 0.0000 0.0000 0.5000 (multiplicity 1)  6 S 2.82-2.86
Bi: 0.5000 0.5000 0.0000 (multiplicity 1)  4 S 2.88
S: 0.1174 0.5000 0.2960 (multiplicity 2)  1 Ho 2.72, 2 Bi 2.82, 2 Na 2.92
S: 0.4041 0.0000 0.7109 (multiplicity 2)  2 Ho 2.79, 3 Bi 2.86-2.88

Output
**Magnetization**: 0.00 μB per formula unit
**Formation energy without anion corrections**: -903 meV per atom


Na3HoBi2Se6: relaxed, GGA-PBE.

Unit cell a=7.2877 b=12.6300 c=7.4657 alpha=90.00 beta=109.01 gamma=90.00
Closest atoms and distances in Å follow each position.
Space group C2/m (No. 12)
Unique sites:
Na: 0.0000 0.0000 0.0000 (multiplicity 2)  6 Se 3.05-3.11
Na: 0.0000 0.3273 0.0000 (multiplicity 4)  6 Se 3.05-3.10
Ho: 0.0000 0.5000 0.5000 (multiplicity 2)  6 Se 2.89
Bi: 0.0000 0.1658 0.5000 (multiplicity 4)  6 Se 2.96-2.97
Se: 0.2405 0.3374 0.7337 (multiplicity 8)  1 Ho 2.89, 2 Bi 2.96-2.97, 3 Na 3.05-3.07
Se: 0.2467 0.5000 0.2650 (multiplicity 4)  1 Ho 2.89, 2 Bi 2.96, 3 Na 3.10-3.11

Output
**Magnetization**: 0.00 μB per formula unit
**Formation energy without anion corrections**: -1061 meV per atom


Na3Ho2BiSe6: relaxed, GGA-PBE.

Unit cell a=7.2234 b=12.5133 c=7.4321 alpha=90.00 beta=108.93 gamma=90.00
Closest atoms and distances in Å follow each position.
Space group C2/m (No. 12)
Unique sites:
Na: 0.0000 0.0000 0.0000 (multiplicity 2)  6 Se 3.02-3.08
Na: 0.0000 0.3380 0.0000 (multiplicity 4)  6 Se 3.05-3.09
Ho: 0.0000 0.1673 0.5000 (multiplicity 4)  6 Se 2.88
Bi: 0.0000 0.5000 0.5000 (multiplicity 2)  6 Se 2.95
Se: 0.2352 0.0000 0.7304 (multiplicity 4)  2 Ho 2.88, 1 Bi 2.95, 3 Na 3.02-3.05
Se: 0.2480 0.3293 0.7312 (multiplicity 8)  2 Ho 2.88, 1 Bi 2.95, 3 Na 3.05-3.09

Output
**Magnetization**: 0.00 μB per formula unit
**Formation energy without anion corrections**: -1382 meV per atom


Na4Ho3BiSe8: relaxed, GGA-PBE.

Unit cell a=8.3222 b=8.3222 c=21.0709 alpha=90.00 beta=90.00 gamma=120.00
Closest atoms and distances in Å follow each position.
Space group R-3m (No. 166, hexagonal axes)
Unique sites:
Na: 0.0000 0.0000 0.0000 (multiplicity 3)  6 Se 3.02
Na: 0.0000 0.5000 0.0000 (multiplicity 9)  6 Se 3.07
Ho: 0.0000 0.5000 0.5000 (multiplicity 9)  6 Se 2.88
Bi: 0.0000 0.0000 0.5000 (multiplicity 3)  6 Se 2.94
Se: 0.0000 0.0000 0.2423 (multiplicity 6)  3 Ho 2.88, 3 Na 3.07
Se: 0.0069 0.5035 0.7562 (multiplicity 18)  2 Ho 2.88, 1 Bi 2.94, 3 Na 3.02-3.07

Output
**Magnetization**: 0.00 μB per formula unit
**Formation energy without anion corrections**: -1462 meV per atom


Na3Ho3BiSe8: relaxed, GGA-PBE.

Unit cell a=8.2345 b=8.2345 c=21.2343 alpha=90.00 beta=90.00 gamma=120.00
Closest atoms and distances in Å follow each position.
Space group R-3m (No. 166, hexagonal axes)
Unique sites:
Na: 0.0000 0.5000 0.0000 (multiplicity 9)  6 Se 3.06
Ho: 0.0000 0.5000 0.5000 (multiplicity 9)  6 Se 2.87
Bi: 0.0000 0.0000 0.5000 (multiplicity 3)  6 Se 2.90
Se: 0.0000 0.0000 0.2426 (multiplicity 6)  3 Ho 2.87, 3 Na 3.06
Se: 0.0042 0.5021 0.7568 (multiplicity 18)  2 Ho 2.87, 1 Bi 2.90, 2 Na 3.06

Output
**Magnetization**: 0.00 μB per formula unit
**Formation energy without anion corrections**: -1380 meV per atom


Na4Ho3BiTe8: relaxed, GGA-PBE.

Unit cell a=8.8869 b=8.8869 c=22.7313 alpha=90.00 beta=90.00 gamma=120.00
Closest atoms and distances in Å follow each position.
Space group R-3m (No. 166, hexagonal axes)
Unique sites:
Na: 0.0000 0.0000 0.0000 (multiplicity 3)  6 Te 3.24
Na: 0.0000 0.5000 0.0000 (multiplicity 9)  6 Te 3.28
Ho: 0.0000 0.5000 0.5000 (multiplicity 9)  6 Te 3.10
Bi: 0.0000 0.0000 0.5000 (multiplicity 3)  6 Te 3.14
Te: 0.0000 0.0000 0.2432 (multiplicity 6)  3 Ho 3.10, 3 Na 3.28
Te: 0.0049 0.5025 0.7558 (multiplicity 18)  2 Ho 3.10, 1 Bi 3.14, 3 Na 3.24-3.28

Output
**Magnetization**: 0.00 μB per formula unit
**Formation energy without anion corrections**: -1114 meV per atom


Na3Ho3BiTe8: relaxed, GGA-PBE.

Unit cell a=15.1863 b=8.7353 c=9.1947 alpha=90.00 beta=123.50 gamma=90.00
Closest atoms and distances in Å follow each position.
Space group C2/m (No. 12)
Unique sites:
Na: 0.0000 0.0000 0.0000 (multiplicity 2)  6 Te 3.26-3.27
Na: 0.2500 0.2500 0.0000 (multiplicity 4)  6 Te 3.26-3.28
Ho: 0.0000 0.5000 0.5000 (multiplicity 2)  6 Te 3.07-3.09
Ho: 0.2500 0.2500 0.5000 (multiplicity 4)  6 Te 3.07-3.09
Bi: 0.0000 0.0000 0.5000 (multiplicity 2)  6 Te 3.16
Te: 0.0076 0.2571 0.2660 (multiplicity 8)  2 Ho 3.07, 1 Bi 3.16, 2 Na 3.27-3.28
Te: 0.2439 0.5000 0.7318 (multiplicity 4)  3 Ho 3.09, 3 Na 3.26
Te: 0.2494 0.0000 0.7341 (multiplicity 4)  2 Ho 3.07, 1 Bi 3.16, 2 Na 3.27

Output
**Magnetization**: 0.00 μB per formula unit
**Formation energy without anion corrections**: -1040 meV per atom


NaHoTh2Bi4: relaxed, GGA-PBE.

Unit cell a=7.7934 b=4.6007 c=8.0052 alpha=90.00 beta=109.41 gamma=90.00
Closest atoms and distances in Å follow each position.
Space group P2/m (No. 10)
Unique sites:
Na: 0.0000 0.0000 0.0000 (multiplicity 1)  6 Bi 3.20-3.25
Ho: 0.0000 0.5000 0.5000 (multiplicity 1)  6 Bi 3.20-3.21
Th: 0.5000 0.0000 0.5000 (multiplicity 1)  6 Bi 3.23-3.25
Th: 0.5000 0.5000 0.0000 (multiplicity 1)  6 Bi 3.24-3.27
Bi: 0.2426 0.0000 0.7472 (multiplicity 2)  1 Na 3.20, 2 Ho 3.21, 3 Th 3.25-3.27
Bi: 0.2496 0.5000 0.2524 (multiplicity 2)  1 Ho 3.20, 3 Th 3.23-3.24, 2 Na 3.25

Output
**E_form**: -0.56 eV per atom
**Magnetization**: 0.00 μB per formula unit


HoNbBi2: relaxed, GGA-PBE.

Unit cell a=3.5429 b=3.5429 c=31.7743 alpha=90.00 beta=90.00 gamma=120.00
Closest atoms and distances in Å follow each position.
Space group R-3m (No. 166, hexagonal axes)
Unique sites:
Ho: 0.0000 0.0000 0.0000 (multiplicity 3)  2 Bi 3.18, 6 Ho 3.54
Nb: 0.0000 0.0000 0.5000 (multiplicity 3)  6 Bi 2.94
Bi: 0.0000 0.0000 0.1000 (multiplicity 6)  3 Nb 2.94, 1 Ho 3.18

Output
**E_form**: 0.16 eV per atom
**Magnetization**: 0.00 μB per formula unit


NdHoBi: relaxed, GGA-PBE.

Unit cell a=12.2566 b=4.2557 c=8.5921 alpha=90.00 beta=119.67 gamma=90.00
Closest atoms and distances in Å follow each position.
Space group C2/m (No. 12)
Unique sites:
Nd: 0.0689 0.0000 0.3366 (multiplicity 4)  5 Bi 3.37-3.44, 4 Ho 3.74-3.75
Ho: 0.1516 0.5000 0.0525 (multiplicity 4)  3 Bi 3.14-3.22, 1 Ho 3.36
Bi: 0.1584 0.5000 0.6826 (multiplicity 4)  3 Ho 3.14-3.22, 5 Nd 3.37-3.44

Output
**E_form**: -0.52 eV per atom
**Magnetization**: 0.34 μB per formula unit


NdHo2Bi: relaxed, GGA-PBE.

Unit cell a=4.9199 b=4.9199 c=4.8668 alpha=90.00 beta=90.00 gamma=90.00
Closest atoms and distances in Å follow each position.
Space group P4/mmm (No. 123)
Unique sites:
Nd: 0.0000 0.0000 0.0000 (multiplicity 1)  8 Ho 3.46, 4 Bi 3.48
Ho: 0.0000 0.5000 0.5000 (multiplicity 2)  4 Bi 3.46, 4 Nd 3.46, 4 Ho 3.48
Bi: 0.5000 0.5000 0.0000 (multiplicity 1)  8 Ho 3.46, 4 Nd 3.48

Output
**E_form**: -0.36 eV per atom
**Magnetization**: 0.00 μB per formula unit


Nd2HoBi3: relaxed, GGA-PBE.

Unit cell a=9.1171 b=12.9055 c=27.3770 alpha=90.00 beta=90.00 gamma=90.00
Closest atoms and distances in Å follow each position.
Space group Fddd (No. 70, origin choice 2)
Unique sites:
Nd: 0.1250 0.1250 0.0426 (multiplicity 16)  6 Bi 3.24-3.27
Nd: 0.1250 0.1250 0.3738 (multiplicity 16)  6 Bi 3.23-3.25
Ho: 0.1250 0.1250 0.5414 (multiplicity 16)  6 Bi 3.17-3.18
Bi: 0.1171 0.3750 0.8750 (multiplicity 16)  2 Ho 3.18, 4 Nd 3.23-3.26
Bi: 0.1212 0.3716 0.7096 (multiplicity 32)  2 Ho 3.17-3.18, 4 Nd 3.24-3.27

Output
**E_form**: -0.91 eV per atom
**Magnetization**: 0.00 μB per formula unit


Nd2Ho5Bi4: relaxed, GGA-PBE.

Unit cell a=34.9531 b=3.3996 c=6.1610 alpha=90.00 beta=97.07 gamma=90.00
Closest atoms and distances in Å follow each position.
Space group C2/m (No. 12)
Unique sites:
Nd: 0.2129 0.0000 0.2553 (multiplicity 4)  5 Bi 3.28-3.59, 2 Nd 3.40, 2 Ho 3.48-3.63
Ho: 0.0000 0.5000 0.0000 (multiplicity 2)  4 Bi 3.27, 2 Ho 3.40
Ho: 0.1189 0.0000 0.4480 (multiplicity 4)  1 Bi 3.06, 4 Ho 3.07-3.40
Ho: 0.1221 0.0000 0.9517 (multiplicity 4)  4 Ho 3.07-3.40, 3 Bi 3.16-3.39
Bi: 0.0428 0.0000 0.6451 (multiplicity 4)  4 Ho 3.06-3.27, 3 Bi 3.29-3.40
Bi: 0.1934 0.5000 0.7437 (multiplicity 4)  5 Nd 3.28-3.59, 4 Ho 3.39-3.44, 2 Bi 3.40

Output
**E_form**: -0.09 eV per atom
**Magnetization**: 0.00 μB per formula unit